This record from the Alexandria database describes crystalline Pm8PrN6 at its relaxed geometry. The functional is GGA-PBE.

Cell: 9.9124 9.9124 9.9124 Å, 37.05 37.05 37.05°
Fractional coordinates of all 15 atoms:
Pm1 0.0648 0.7309 0.3978
Pm2 0.1667 0.1667 0.1667
Pm3 0.2691 0.6022 0.9352
Pm4 0.3978 0.0648 0.7309
Pm5 0.6022 0.9352 0.2691
Pm6 0.7309 0.3978 0.0648
Pm7 0.8333 0.8333 0.8333
Pm8 0.9352 0.2691 0.6022
Pr1 0.5000 0.5000 0.5000
N1 0.1058 0.4427 0.7797
N2 0.2203 0.8942 0.5573
N3 0.4427 0.7797 0.1058
N4 0.5573 0.2203 0.8942
N5 0.7797 0.1058 0.4427
N6 0.8942 0.5573 0.2203

Results
ΔE_f (raw)   -1139 meV/atom
Final energy   -7.322 eV per atom
Space group   R-3 (148)
D(E_F)   7.84 states/eV per cell
Total moment   1.18 μB per formula unit

This record from the Alexandria database describes crystalline Pm2PrPuN4 at its relaxed geometry. The functional is GGA-PBE.

Cell: 6.2072 3.5994 6.2183 Å, 90.00 109.30 90.00°
Fractional coordinates of all 8 atoms:
Pm1 0.0000 0.0000 0.0000
Pm2 0.0000 0.5000 0.5000
Pr1 0.5000 0.0000 0.5000
Pu1 0.5000 0.5000 0.0000
N1 0.2560 0.5000 0.2366
N2 0.2632 0.0000 0.7671
N3 0.7368 0.0000 0.2329
N4 0.7440 0.5000 0.7634

Results
ΔE_f (raw)   -1340 meV/atom
Final energy   -9.079 eV per atom
Space group   P2/m (10)
D(E_F)   7.87 states/eV per cell
Total moment   4.66 μB per formula unit

This record from the Alexandria database describes crystalline PmPr2Re2N6 at its relaxed geometry. The functional is GGA-PBE.

Cell: 6.9686 6.9686 6.9686 Å, 49.46 49.46 49.46°
Fractional coordinates of all 11 atoms:
Pm1 0.0000 0.0000 0.0000
Pr1 0.2090 0.2090 0.2090
Pr2 0.7910 0.7910 0.7910
Re1 0.4030 0.4030 0.4030
Re2 0.5970 0.5970 0.5970
N1 0.2263 0.7383 0.7383
N2 0.2617 0.2617 0.7737
N3 0.2617 0.7737 0.2617
N4 0.7383 0.2263 0.7383
N5 0.7383 0.7383 0.2263
N6 0.7737 0.2617 0.2617

Results
ΔE_f (raw)   -679 meV/atom
Final energy   -8.784 eV per atom
Space group   R-3m (166)
D(E_F)   3.76 states/eV per cell
Total moment   0.00 μB per formula unit